PuCo3Ge3 after structural relaxation, computed with PBE.

```
data_PuCo3Ge3
_chemical_formula_sum 'Pu2 Co6 Ge6'
_cell_length_a 8.0575
_cell_length_b 8.0575
_cell_length_c 4.0569
_cell_angle_alpha 90.00
_cell_angle_beta 90.00
_cell_angle_gamma 120.00
_space_group_name_H-M_alt 'P 63/m'
_space_group_IT_number 176
_space_group_name_Hall '-P 6c'
loop_
_atom_site_label
_atom_site_type_symbol
_atom_site_fract_x
_atom_site_fract_y
_atom_site_fract_z
Pu1 Pu 0.3333 0.6667 0.2500
Co1 Co 0.0487 0.8469 0.2500
Ge1 Ge 0.0852 0.7068 0.7500
```

Output
Calculated total energy ... -0.5352 Ry per atom